## Dy2CdAu6 (PBE)

Data for a relaxed Dy2CdAu6 crystal.

As for the excess energy over the best structure of this formula in the dataset: 0.096 eV/atom. The formation energy comes out at -0.499 eV/atom. As for the symmetry: C2/m. Its total magnetization is 0.0 μB/f.u.

Cell lengths 6.598, 6.598, 4.848 Å; angles 95.68, 95.68, 70.57 degrees
Element x y z (fractional)
Dy 0.243 0.243 0.074
Dy 0.757 0.757 0.926
Cd 0.500 0.500 0.500
Au 0.049 0.679 0.440
Au 0.275 0.725 0.000
Au 0.321 0.951 0.560
Au 0.679 0.049 0.440
Au 0.725 0.275 0.000
Au 0.951 0.321 0.560